DFT (PBE) results for a relaxed KRbHf2Pd crystal.

abc: 5.1382 5.1382 6.6213
angles: 90.00 90.00 90.00
With the nearest neighbours (Å) after each atom.
Space group P4/mmm (No. 123)
Symmetry-distinct sites (fractional):
K: 0.0000 0.0000 0.0000 (multiplicity 1)  2 Pd 3.31, 4 Rb 3.63
Rb: 0.5000 0.5000 0.0000 (multiplicity 1)  4 K 3.63
Hf: 0.0000 0.5000 0.5000 (multiplicity 2)  2 Pd 2.57
Pd: 0.0000 0.0000 0.5000 (multiplicity 1)  4 Hf 2.57

Computed properties:
- DOS at the Fermi energy: 7.54 states/eV/f.u.
- Formation enthalpy at 0 K: 0.6838 eV per atom